Below is an optimized crystal structure of La2Pm5Tl4, with properties calculated at the GGA-PBE level.

Computed properties:
- Energy: -4.04 eV per atom
- Spin magnetization: 0.00 μB per atom
- DFT formation energy: -136 kJ/mol of formula units
- Energy above the most stable polymorph in this dataset: 78.3 meV/atom

abc: 3.761 5.636 18.155
angles: 111.87 95.95 90.00
Fractional positions:
Pm: 0.297 0.544 0.595
Pm: 0.208 0.970 0.415
Pm: 0.792 0.030 0.585
Pm: 0.500 0.000 0.000
Pm: 0.703 0.456 0.405
Tl: 0.372 0.192 0.744
Tl: 0.046 0.615 0.093
Tl: 0.954 0.385 0.907
Tl: 0.628 0.808 0.256
La: 0.104 0.251 0.208
La: 0.896 0.749 0.792



Below is an optimized crystal structure of La5Pm4Tl4, with properties calculated at the GGA-PBE level.

Computed properties:
- Energy: -4.35 eV per atom
- Spin magnetization: 0.00 μB per atom
- DFT formation energy: -329 kJ/mol of formula units

abc: 5.217 9.473 9.473
angles: 85.65 74.02 74.02
Fractional positions:
La: 0.000 0.000 0.000
La: 0.695 0.907 0.703
La: 0.602 0.703 0.093
La: 0.398 0.297 0.907
La: 0.305 0.093 0.297
Pm: 0.610 0.301 0.479
Pm: 0.390 0.699 0.521
Pm: 0.089 0.521 0.301
Pm: 0.911 0.479 0.699
Tl: 0.897 0.869 0.338
Tl: 0.766 0.338 0.131
Tl: 0.103 0.131 0.662
Tl: 0.234 0.662 0.869



Below is an optimized crystal structure of La2Pm9Tl, with properties calculated at the GGA-PBE level.

Computed properties:
- Energy: -4.62 eV per atom
- Spin magnetization: 0.00 μB per atom
- DFT formation energy: -45 kJ/mol of formula units

abc: 5.073 5.073 15.645
angles: 90.00 90.00 90.00
Fractional positions:
Pm: 0.500 0.000 0.500
Pm: 0.000 0.500 0.841
Pm: 0.500 0.500 0.328
Pm: 0.500 0.000 0.841
Pm: 0.000 0.500 0.159
Pm: 0.500 0.000 0.159
Pm: 0.500 0.500 0.000
Pm: 0.000 0.500 0.500
Pm: 0.500 0.500 0.672
Tl: 0.000 0.000 0.000
La: 0.000 0.000 0.331
La: 0.000 0.000 0.669



Below is an optimized crystal structure of La5Pm4Tl, with properties calculated at the GGA-PBE level.

Computed properties:
- Energy: -4.60 eV per atom
- Spin magnetization: 0.00 μB per atom
- DFT formation energy: -1 kJ/mol of formula units
- Energy above the most stable polymorph in this dataset: 0.0 meV/atom

abc: 4.306 4.306 18.726
angles: 90.00 90.00 90.00
Fractional positions:
Pm: 0.000 0.000 0.196
Pm: 0.000 0.000 0.398
Pm: 0.000 0.000 0.602
Pm: 0.000 0.000 0.804
Tl: 0.000 0.000 0.000
La: 0.500 0.500 0.500
La: 0.500 0.500 0.912
La: 0.500 0.500 0.701
La: 0.500 0.500 0.088
La: 0.500 0.500 0.299



Below is an optimized crystal structure of La4Pm5Tl, with properties calculated at the GGA-PBE level.

Computed properties:
- Energy: -4.51 eV per atom
- Spin magnetization: 0.00 μB per atom
- DFT formation energy: 69 kJ/mol of formula units
- Energy above the most stable polymorph in this dataset: 64.5 meV/atom

abc: 6.069 8.303 8.303
angles: 82.32 68.56 68.56
Fractional positions:
Pm: 0.139 0.629 0.000
Pm: 0.768 0.371 0.000
Pm: 0.768 0.000 0.371
Pm: 0.663 0.000 0.000
Pm: 0.139 0.000 0.629
La: 0.154 0.308 0.308
La: 0.463 0.308 0.692
La: 0.463 0.692 0.308
La: 0.771 0.692 0.692
Tl: 0.182 0.000 0.000



Below is an optimized crystal structure of La8Pm3Tl, with properties calculated at the GGA-PBE level.

Computed properties:
- Energy: -4.31 eV per atom
- Spin magnetization: 0.00 μB per atom
- DFT formation energy: 415 kJ/mol of formula units

abc: 8.593 8.593 8.593
angles: 92.51 118.56 118.56
Fractional positions:
La: 0.000 0.732 0.242
La: 0.490 0.758 0.758
La: 0.000 0.620 0.877
La: 0.000 0.877 0.620
La: 0.510 0.268 0.268
La: 0.257 0.380 0.380
La: 0.000 0.242 0.732
La: 0.743 0.123 0.123
Pm: 0.500 0.750 0.250
Pm: 0.500 0.250 0.750
Pm: 0.000 0.500 0.500
Tl: 0.000 0.000 0.000



Below is an optimized crystal structure of La5Pm12Tl2, with properties calculated at the GGA-PBE level.

Computed properties:
- Energy: -4.55 eV per atom
- Spin magnetization: 0.00 μB per atom
- DFT formation energy: -8 kJ/mol of formula units

abc: 9.463 9.216 8.734
angles: 92.96 90.00 120.89
Fractional positions:
Tl: 0.317 0.000 0.000
Tl: 0.683 0.000 0.000
Pm: 0.817 0.250 0.666
Pm: 0.327 0.288 0.239
Pm: 0.432 0.250 0.666
Pm: 0.673 0.712 0.761
Pm: 0.183 0.750 0.334
Pm: 0.961 0.288 0.239
Pm: 0.554 0.109 0.321
Pm: 0.446 0.891 0.679
Pm: 0.568 0.750 0.334
Pm: 0.077 0.154 0.886
Pm: 0.039 0.712 0.761
Pm: 0.923 0.846 0.114
La: 0.233 0.466 0.582
La: 0.767 0.534 0.418
La: 0.692 0.383 0.009
La: 0.000 0.000 0.500
La: 0.308 0.617 0.991



Below is an optimized crystal structure of LaPm8Tl6, with properties calculated at the GGA-PBE level.

Computed properties:
- Energy: -3.98 eV per atom
- Spin magnetization: 0.00 μB per atom
- DFT formation energy: -242 kJ/mol of formula units

abc: 9.381 9.381 8.533
angles: 56.66 56.66 60.00
Fractional positions:
Pm: 0.887 0.559 0.335
Pm: 0.219 0.887 0.335
Pm: 0.781 0.113 0.665
Pm: 0.332 0.332 0.004
Pm: 0.559 0.219 0.335
Pm: 0.113 0.441 0.665
Pm: 0.441 0.781 0.665
Pm: 0.668 0.668 0.996
Tl: 0.601 0.940 0.179
Tl: 0.060 0.721 0.821
Tl: 0.399 0.060 0.821
Tl: 0.940 0.279 0.179
Tl: 0.279 0.601 0.179
Tl: 0.721 0.399 0.821
La: 0.000 0.000 0.000



Below is an optimized crystal structure of LaPm3Tl2, with properties calculated at the GGA-PBE level.

Computed properties:
- Energy: -4.26 eV per atom
- Spin magnetization: 0.00 μB per atom
- DFT formation energy: -160 kJ/mol of formula units
- Energy above the most stable polymorph in this dataset: 0.0 meV/atom

abc: 5.262 6.917 10.402
angles: 90.00 90.00 90.00
Fractional positions:
La: 0.500 0.559 0.546
La: 0.500 0.059 0.454
Pm: 0.000 0.948 0.045
Pm: 0.000 0.822 0.690
Pm: 0.500 0.675 0.184
Pm: 0.000 0.448 0.955
Pm: 0.500 0.175 0.816
Pm: 0.000 0.322 0.310
Tl: 0.500 0.207 0.131
Tl: 0.000 0.290 0.637
Tl: 0.000 0.790 0.363
Tl: 0.500 0.707 0.869



Below is an optimized crystal structure of La8Pm5Tl, with properties calculated at the GGA-PBE level.

Computed properties:
- Energy: -4.55 eV per atom
- Spin magnetization: 0.00 μB per atom
- DFT formation energy: 182 kJ/mol of formula units

abc: 8.752 8.752 8.752
angles: 105.87 116.94 105.87
Fractional positions:
Pm: 0.987 0.913 0.202
Pm: 0.798 0.785 0.711
Pm: 0.926 0.215 0.013
Pm: 0.289 0.087 0.074
Pm: 0.500 0.000 0.500
La: 0.549 0.645 0.233
La: 0.044 0.084 0.636
La: 0.095 0.683 0.451
La: 0.767 0.317 0.412
La: 0.588 0.355 0.905
La: 0.040 0.591 0.956
La: 0.364 0.409 0.449
La: 0.551 0.916 0.960
Tl: 0.250 0.500 0.750



Below is an optimized crystal structure of La9PmTl2, with properties calculated at the GGA-PBE level.

Computed properties:
- Energy: -4.63 eV per atom
- Spin magnetization: 0.00 μB per atom
- DFT formation energy: -171 kJ/mol of formula units

abc: 5.109 5.109 15.535
angles: 90.00 90.00 90.00
Fractional positions:
Pm: 0.000 0.000 0.000
La: 0.000 0.500 0.500
La: 0.500 0.500 0.338
La: 0.000 0.500 0.828
La: 0.000 0.500 0.172
La: 0.500 0.000 0.500
La: 0.500 0.500 0.000
La: 0.500 0.500 0.662
La: 0.500 0.000 0.828
La: 0.500 0.000 0.172
Tl: 0.000 0.000 0.663
Tl: 0.000 0.000 0.337



Below is an optimized crystal structure of LaPm6Tl5, with properties calculated at the GGA-PBE level.

Computed properties:
- Energy: -4.06 eV per atom
- Spin magnetization: 0.11 μB per atom
- DFT formation energy: -333 kJ/mol of formula units

abc: 5.421 7.997 8.795
angles: 90.00 72.05 90.00
Each line ends with the local moment (μB).
Fractional positions:
Pm: 0.174 0.249 0.651  0.07
Pm: 0.174 0.751 0.651  0.07
Pm: 0.826 0.751 0.349  0.07
Pm: 0.500 0.271 0.000  0.09
Pm: 0.500 0.729 0.000  0.09
Pm: 0.826 0.249 0.349  0.07
La: 0.000 0.000 0.000  0.23
Tl: 0.351 0.000 0.298  0.00
Tl: 0.668 0.500 0.665  0.01
Tl: 0.332 0.500 0.335  0.01
Tl: 0.649 0.000 0.702  0.00
Tl: 0.000 0.500 0.000  0.00